Material: Mn2Pd4Pt
Method: DFT, PBE
State: optimized geometry

a b c (Å): 6.6332 5.3803 6.9104
angles (deg): 90.00 116.25 90.00
Space group P2_1/m (No. 11)
Asymmetric unit:
Mn 0.0665 0.2500 0.3632
Mn 0.2581 0.7500 0.0784
Pd 0.2156 0.2500 0.0668
Pd 0.3395 0.5026 0.7684
Pd 0.4896 0.2500 0.4918
Pt 0.0700 0.7500 0.3461

Summary:
The value obtained for the energy relative to the elements is -0.083 eV per atom. Its total magnetization is 9.284 μB/f.u. The calculation puts the total energy at -91.459 eV for the cell shown.